Here is a relaxed TePb2 crystal from the Alexandria database. Energies are from PBE.

abc: 5.8253 5.8253 6.5706
angles: 90.00 90.00 120.00
Space group P6_3/mmc (No. 194)
One atom of each set of equivalent atoms:
Te  0.3333  0.6667  0.2500 x2
Pb  0.0000  0.0000  0.0000 x2
Pb  0.3333  0.6667  0.7500 x2

V (Å³ per cell): 193.1
Formation energy from raw total energies (meV per atom): -59
Final energy (eV/atom): -3.58
Offset from the most stable computed form (meV per atom): 78